Entry 1:
Below is Tb2Ga5IrRu2 after structural relaxation, with properties calculated at the GGA-PBE level.

Calculated values
- symmetry = No. 127
- final energy (eV per atom) = -5.573

Geometry as extended XYZ:
```
20
Lattice="10.5996 0.0000 0.0000 0.0000 10.5996 0.0000 0.0000 0.0000 3.1555" Properties=species:S:1:pos:R:3 pbc="T T T"
Tb 1.9286 3.3711 0.0000
Tb 3.3711 8.6709 0.0000
Tb 7.2284 1.9286 0.0000
Tb 8.6709 7.2284 0.0000
Ga 0.0000 5.2998 1.5777
Ga 0.5745 8.5647 1.5777
Ga 2.0349 0.5745 1.5777
Ga 3.2649 5.8743 1.5777
Ga 4.7252 3.2649 1.5777
Ga 5.2998 0.0000 1.5777
Ga 5.8743 7.3347 1.5777
Ga 7.3347 4.7252 1.5777
Ga 8.5647 10.0250 1.5777
Ga 10.0250 2.0349 1.5777
Ir 0.0000 0.0000 0.0000
Ir 5.2998 5.2998 0.0000
Ru 1.3610 6.6607 0.0000
Ru 3.9388 1.3610 0.0000
Ru 6.6607 9.2386 0.0000
Ru 9.2386 3.9388 0.0000
```

---

Entry 2:
Below is Ho2CoH8 after structural relaxation, with properties calculated at the GGA-PBE level.

Calculated values
- symmetry = No. 12
- final energy (eV per atom) = -4.248

Geometry as extended XYZ:
```
11
Lattice="6.6103 -1.7462 0.0000 6.6103 1.7462 0.0000 -1.2594 0.0000 3.8897" Properties=species:S:1:pos:R:3 pbc="T T T"
Ho 1.7232 0.0000 0.5589
Ho 10.2380 0.0000 3.3308
Co 5.9806 0.0000 1.9449
H 12.8557 0.0000 1.1203
H -0.8945 0.0000 2.7694
H 2.2031 0.0000 2.8668
H 5.0728 0.0000 0.6411
H 4.4762 0.0000 2.4493
H 7.4850 0.0000 1.4404
H 6.8885 0.0000 3.2487
H 9.7582 0.0000 1.0229
```

---

Entry 3:
Below is TaTeSe2 after structural relaxation, with properties calculated at the GGA-PBE level.

Calculated values
- E_form (uncorrected) (kJ/mol of formula units) = -137
- symmetry = No. 123

Geometry as extended XYZ:
```
4
Lattice="3.1290 0.0000 0.0000 0.0000 3.1290 0.0000 0.0000 0.0000 10.9588" Properties=species:S:1:pos:R:3 pbc="T T T"
Ta 0.0000 0.0000 0.0000
Te 0.0000 0.0000 5.4794
Se 1.5645 1.5645 1.6121
Se 1.5645 1.5645 9.3466
```

---

Entry 4:
Below is Na2SrLiCl5 after structural relaxation, with properties calculated at the GGA-PBE level.

Calculated values
- E_form (uncorrected) (kJ/mol of formula units) = -1715
- symmetry = No. 36

Geometry as extended XYZ:
```
18
Lattice="2.0516 -9.2319 0.0000 2.0516 9.2319 0.0000 0.0000 0.0000 12.8175" Properties=species:S:1:pos:R:3 pbc="T T T"
Na 2.0516 8.1941 6.4087
Na 2.0516 7.2809 2.5277
Na 2.0516 -7.2809 8.9364
Na 2.0516 -8.1941 0.0000
Sr 2.0516 5.2433 11.6197
Sr 2.0516 -5.2433 5.2109
Li 2.0516 1.3375 3.5180
Li 2.0516 -1.3375 9.9268
Cl 2.0516 8.1551 11.1127
Cl 2.0516 3.7373 3.2229
Cl 2.0516 3.5467 7.1859
Cl 2.0516 2.3706 11.2237
Cl 2.0516 0.0074 1.6290
Cl 2.0516 -0.0074 8.0378
Cl 2.0516 -2.3706 4.8149
Cl 2.0516 -3.5467 0.7771
Cl 2.0516 -3.7373 9.6317
Cl 2.0516 -8.1551 4.7040
```